Run A
Compound: Li3VH
Source: Alexandria
Functional: PBE-GGA
Structure: optimized geometry

Density: 1.73 g cm⁻³
Space group: Pm-3m
Size of the total moment: 4.755 μB per cell

Lattice parameters (Å, degrees): 4.1183 4.1183 4.1183 90.00 90.00 90.00
Closest atoms and distances in Å follow each position.
Fractional coordinates of all 5 atoms:
H: 0.0000 0.0000 0.0000  6 Li 2.06
V: 0.5000 0.5000 0.5000  12 Li 2.91
Li: 0.0000 0.5000 0.0000  2 H 2.06
Li: 0.0000 0.0000 0.5000  2 H 2.06
Li: 0.5000 0.0000 0.0000  2 H 2.06



Run B
Compound: Li3VH
Source: Alexandria
Functional: PBE-GGA
Structure: optimized geometry

Density: 0.86 g cm⁻³
Space group: Pm-3m
Size of the total moment: 5.000 μB per cell

Lattice parameters (Å, degrees): 5.1888 5.1888 5.1888 90.00 90.00 90.00
Closest atoms and distances in Å follow each position.
Fractional coordinates of all 5 atoms:
H: 0.5000 0.5000 0.5000  12 Li 3.67
V: 0.0000 0.0000 0.0000  6 Li 2.59
Li: 0.0000 0.5000 0.0000  2 V 2.59
Li: 0.0000 0.0000 0.5000  2 V 2.59
Li: 0.5000 0.0000 0.0000  2 V 2.59



run A has the most favorable energy; the next structure is 90.2 kJ/mol of atoms above.



Run A
Compound: LiV2H4
Source: Alexandria
Functional: PBE-GGA
Structure: optimized geometry

Density: 3.38 g cm⁻³
Space group: Fddd
Size of the total moment: 0.000 μB per cell

Lattice parameters (Å, degrees): 5.3850 5.3851 5.3993 119.88 119.87 90.10
Closest atoms and distances in Å follow each position.
Fractional coordinates of all 14 atoms:
Li: 0.2499 0.7500 0.5000  4 H 1.78
Li: 0.0001 0.0000 0.0000  4 H 1.78
V: 0.6250 0.3750 0.7500  6 H 1.83-1.84
V: 0.6250 0.8750 0.2500  6 H 1.83-1.84
V: 0.6250 0.3750 0.2500  6 H 1.83-1.84
V: 0.1250 0.3750 0.7500  6 H 1.83-1.84
H: 0.8665 0.1355 0.2707  1 Li 1.78, 3 V 1.83-1.84
H: 0.3835 0.6145 0.2293  1 Li 1.78, 3 V 1.83-1.84
H: 0.8649 0.5957 0.7293  1 Li 1.78, 3 V 1.83-1.84
H: 0.8645 0.1335 0.7293  1 Li 1.78, 3 V 1.83-1.84
H: 0.4043 0.1352 0.2707  1 Li 1.78, 3 V 1.83-1.84
H: 0.3852 0.1542 0.7707  1 Li 1.78, 3 V 1.83-1.84
H: 0.3855 0.6165 0.7707  1 Li 1.78, 3 V 1.83-1.84
H: 0.8457 0.6148 0.2293  1 Li 1.78, 3 V 1.83-1.84



Run B
Compound: LiV2H4
Source: Alexandria
Functional: PBE-GGA
Structure: optimized geometry

Density: 4.13 g cm⁻³
Space group: I4/mmm
Size of the total moment: 0.000 μB per cell

Lattice parameters (Å, degrees): 3.0936 3.0936 5.2210 72.77 72.77 90.00
Closest atoms and distances in Å follow each position.
Fractional coordinates of all 7 atoms:
H: 0.1664 0.1664 0.6673  1 Li 1.58, 1 V 1.68
H: 0.8336 0.8336 0.3327  1 Li 1.58, 1 V 1.68
H: 0.0000 0.5000 0.0000  2 Li 1.55
H: 0.5000 0.0000 0.0000  2 Li 1.55
Li: 0.0000 0.0000 0.0000  6 H 1.55-1.58
V: 0.3439 0.3439 0.3123  1 H 1.68
V: 0.6561 0.6561 0.6877  1 H 1.68



run A has the most favorable energy; the next structure is 25.9 kJ/mol of atoms above.



Run A
Compound: LiH3W
Source: Alexandria
Functional: PBE-GGA
Structure: optimized geometry

Density: 10.07 g cm⁻³
Space group: Pm-3m
Size of the total moment: 0.506 μB per cell

Lattice parameters (Å, degrees): 3.1736 3.1736 3.1736 90.00 90.00 90.00
Closest atoms and distances in Å follow each position.
Fractional coordinates of all 5 atoms:
H: 0.0000 0.5000 0.0000  2 Li 1.59
H: 0.0000 0.0000 0.5000  2 Li 1.59
H: 0.5000 0.0000 0.0000  2 Li 1.59
W: 0.5000 0.5000 0.5000  12 H 2.24
Li: 0.0000 0.0000 0.0000  6 H 1.59



Run B
Compound: LiH3W
Source: Alexandria
Functional: PBE-GGA
Structure: optimized geometry

Density: 7.21 g cm⁻³
Space group: Pm-3m
Size of the total moment: 0.000 μB per cell

Lattice parameters (Å, degrees): 3.5468 3.5468 3.5468 90.00 90.00 90.00
Closest atoms and distances in Å follow each position.
Fractional coordinates of all 5 atoms:
H: 0.0000 0.5000 0.0000  2 W 1.77
H: 0.0000 0.0000 0.5000  2 W 1.77
H: 0.5000 0.0000 0.0000  2 W 1.77
W: 0.0000 0.0000 0.0000  6 H 1.77
Li: 0.5000 0.5000 0.5000  12 H 2.51



run B has the most favorable energy; the next structure is 20.5 kJ/mol of atoms above.



Run A
Compound: LiHW2
Source: Alexandria
Functional: PBE-GGA
Structure: optimized geometry

Density: 10.05 g cm⁻³
Space group: I4_1/amd
Size of the total moment: 0.000 μB per cell

Lattice parameters (Å, degrees): 5.6149 5.6149 5.5921 59.87 59.87 90.00
Closest atoms and distances in Å follow each position.
Fractional coordinates of all 8 atoms:
H: 0.5000 0.5000 0.0000  4 W 1.71
H: 0.2500 0.7500 0.5000  4 W 1.71
W: 0.3750 0.1250 0.2500  2 H 1.71
W: 0.3750 0.6250 0.2500  2 H 1.71
W: 0.3750 0.6250 0.7500  2 H 1.71
W: 0.8750 0.6250 0.7500  2 H 1.71
Li: 0.0000 0.0000 0.0000  12 W 3.27-3.29, 4 H 3.43, 4 Li 3.43
Li: 0.7500 0.2500 0.5000  12 W 3.27-3.29, 4 H 3.43, 4 Li 3.43



Run B
Compound: LiHW2
Source: Alexandria
Functional: PBE-GGA
Structure: optimized geometry

Density: 13.50 g cm⁻³
Space group: Fm-3m
Size of the total moment: 0.000 μB per cell

Lattice parameters (Å, degrees): 4.0273 4.0273 4.0273 60.00 60.00 60.00
Closest atoms and distances in Å follow each position.
Fractional coordinates of all 4 atoms:
H: 0.0000 0.0000 0.0000  8 W 2.47
W: 0.2500 0.2500 0.2500  4 Li 2.47, 4 H 2.47
W: 0.7500 0.7500 0.7500  4 Li 2.47, 4 H 2.47
Li: 0.5000 0.5000 0.5000  8 W 2.47



run A has the most favorable energy; the next structure is 24.4 kJ/mol of atoms above.



Run A
Compound: LiYH3
Source: Alexandria
Functional: PBE-GGA
Structure: optimized geometry

Density: 2.23 g cm⁻³
Space group: Pm-3m
Size of the total moment: 0.000 μB per cell

Lattice parameters (Å, degrees): 4.1883 4.1883 4.1883 90.00 90.00 90.00
Closest atoms and distances in Å follow each position.
Fractional coordinates of all 5 atoms:
Y: 0.0000 0.0000 0.0000  6 H 2.09
H: 0.0000 0.5000 0.0000  2 Y 2.09
H: 0.0000 0.0000 0.5000  2 Y 2.09
H: 0.5000 0.0000 0.0000  2 Y 2.09
Li: 0.5000 0.5000 0.5000  12 H 2.96



Run B
Compound: LiYH3
Source: Alexandria
Functional: PBE-GGA
Structure: optimized geometry

Density: 3.58 g cm⁻³
Space group: Pm-3m
Size of the total moment: 0.000 μB per cell

Lattice parameters (Å, degrees): 3.5795 3.5795 3.5795 90.00 90.00 90.00
Closest atoms and distances in Å follow each position.
Fractional coordinates of all 5 atoms:
Y: 0.5000 0.5000 0.5000  12 H 2.53
H: 0.0000 0.5000 0.0000  2 Li 1.79
H: 0.0000 0.0000 0.5000  2 Li 1.79
H: 0.5000 0.0000 0.0000  2 Li 1.79
Li: 0.0000 0.0000 0.0000  6 H 1.79



run B has the most favorable energy; the next structure is 17.6 kJ/mol of atoms above.



Run A
Compound: Li2YH
Source: Alexandria
Functional: PBE-GGA
Structure: optimized geometry

Density: 2.20 g cm⁻³
Space group: Fm-3m
Size of the total moment: 0.000 μB per cell

Lattice parameters (Å, degrees): 4.8044 4.8044 4.8044 60.00 60.00 60.00
Closest atoms and distances in Å follow each position.
Fractional coordinates of all 4 atoms:
Y: 0.5000 0.5000 0.5000  8 Li 2.94
H: 0.0000 0.0000 0.0000  8 Li 2.94
Li: 0.2500 0.2500 0.2500  4 Y 2.94, 4 H 2.94
Li: 0.7500 0.7500 0.7500  4 Y 2.94, 4 H 2.94



Run B
Compound: Li2YH
Source: Alexandria
Functional: PBE-GGA
Structure: optimized geometry

Density: 2.37 g cm⁻³
Space group: I4_1/amd
Size of the total moment: 0.000 μB per cell

Lattice parameters (Å, degrees): 5.8967 5.8967 5.9066 60.06 60.06 90.00
Closest atoms and distances in Å follow each position.
Fractional coordinates of all 8 atoms:
Y: 0.0000 0.0000 0.0000  12 Li 3.46-3.47, 4 H 3.62, 4 Y 3.62
Y: 0.7500 0.2500 0.5000  12 Li 3.46-3.47, 4 H 3.62, 4 Y 3.62
H: 0.5000 0.5000 0.0000  4 Li 1.81
H: 0.2500 0.7500 0.5000  4 Li 1.81
Li: 0.3750 0.1250 0.2500  2 H 1.81
Li: 0.3750 0.6250 0.2500  2 H 1.81
Li: 0.3750 0.6250 0.7500  2 H 1.81
Li: 0.8750 0.6250 0.7500  2 H 1.81



run B has the most favorable energy; the next structure is 59.2 kJ/mol of atoms above.



Run A
Compound: LiY2ZnH
Source: Alexandria
Functional: PBE-GGA
Structure: optimized geometry

Density: 4.39 g cm⁻³
Space group: P4/mmm
Size of the total moment: 0.000 μB per cell

Lattice parameters (Å, degrees): 4.9763 4.9763 3.8404 90.00 90.00 90.00
Closest atoms and distances in Å follow each position.
Fractional coordinates of all 5 atoms:
Y: 0.0000 0.5000 0.0000  2 H 2.49
Y: 0.5000 0.0000 0.0000  2 H 2.49
H: 0.0000 0.0000 0.0000  2 Zn 1.92
Zn: 0.0000 0.0000 0.5000  2 H 1.92
Li: 0.5000 0.5000 0.5000  8 Y 3.14, 4 Zn 3.52



Run B
Compound: LiY2ZnH
Source: Alexandria
Functional: PBE-GGA
Structure: optimized geometry

Density: 4.51 g cm⁻³
Space group: P4/mmm
Size of the total moment: 0.337 μB per cell

Lattice parameters (Å, degrees): 4.9710 4.9710 3.7415 90.00 90.00 90.00
Closest atoms and distances in Å follow each position.
Fractional coordinates of all 5 atoms:
Y: 0.0000 0.5000 0.0000  2 H 2.49
Y: 0.5000 0.0000 0.0000  2 H 2.49
H: 0.0000 0.0000 0.0000  2 Li 1.87
Zn: 0.5000 0.5000 0.5000  8 Y 3.11
Li: 0.0000 0.0000 0.5000  2 H 1.87



run B has the most favorable energy; the next structure is 11.3 kJ/mol of atoms above.



Run A
Compound: LiZn2H
Source: Alexandria
Functional: PBE-GGA
Structure: optimized geometry

Density: 4.50 g cm⁻³
Space group: I-42d
Size of the total moment: 0.000 μB per cell

Lattice parameters (Å, degrees): 6.6908 6.6908 5.2545 50.46 50.46 90.00
Closest atoms and distances in Å follow each position.
Fractional coordinates of all 8 atoms:
H: 0.5000 0.5000 0.0000  4 Zn 2.10, 2 Li 2.29
H: 0.2500 0.7500 0.5000  4 Zn 2.10, 2 Li 2.29
Zn: 0.5443 0.1250 0.2500  2 H 2.10
Zn: 0.2057 0.6250 0.2500  2 H 2.10
Zn: 0.3750 0.4557 0.7500  2 H 2.10
Zn: 0.8750 0.7943 0.7500  2 H 2.10
Li: 0.0000 0.0000 0.0000  2 H 2.29
Li: 0.7500 0.2500 0.5000  2 H 2.29



Run B
Compound: LiZn2H
Source: Alexandria
Functional: PBE-GGA
Structure: optimized geometry

Density: 4.53 g cm⁻³
Space group: Fm-3m
Size of the total moment: 0.000 μB per cell

Lattice parameters (Å, degrees): 4.1600 4.1600 4.1600 60.00 60.00 60.00
Closest atoms and distances in Å follow each position.
Fractional coordinates of all 4 atoms:
H: 0.0000 0.0000 0.0000  8 Zn 2.55
Zn: 0.2500 0.2500 0.2500  4 H 2.55, 4 Li 2.55
Zn: 0.7500 0.7500 0.7500  4 H 2.55, 4 Li 2.55
Li: 0.5000 0.5000 0.5000  8 Zn 2.55



run A has the most favorable energy; the next structure is 30.2 kJ/mol of atoms above.